Entry 1:
{"formula": "BeTl3Fe", "functional": "PBE-GGA", "state": "optimized geometry", "magnetic_moment_mub_per_atom": 0.6656, "de_polymorph_mev_per_atom": 13, "e_tot_ev_per_atom": -2.999, "lattice_angstrom": [[4.967, 0.000, 0.000], [0.000, 4.967, 0.000], [0.000, 0.000, 4.967]], "species": ["Be", "Tl", "Tl", "Tl", "Fe"], "frac_coords": [[0.000, 0.000, 0.000], [0.000, 0.000, 0.500], [0.000, 0.500, 0.000], [0.500, 0.000, 0.000], [0.500, 0.500, 0.500]]}

---

Entry 2:
{"formula": "U4Os", "functional": "PBE-GGA", "state": "optimized geometry", "magnetic_moment_mub_per_atom": 2.2487, "de_polymorph_mev_per_atom": 1114, "e_tot_ev_per_atom": -10.242, "lattice_angstrom": [[5.255, 0.000, 0.000], [0.000, 5.255, 0.000], [0.000, 0.000, 5.255]], "species": ["U", "U", "U", "U", "Os"], "frac_coords": [[0.000, 0.000, 0.000], [0.000, 0.500, 0.500], [0.500, 0.000, 0.500], [0.500, 0.500, 0.000], [0.500, 0.500, 0.500]]}

---

Entry 3:
{"formula": "CaZnCdIn2", "functional": "PBE-GGA", "state": "optimized geometry", "magnetic_moment_mub_per_atom": 0.0000, "e_tot_ev_per_atom": -1.803, "lattice_angstrom": [[5.458, 0.000, 0.000], [0.000, 5.458, 0.000], [0.000, 0.000, 5.884]], "species": ["Ca", "Zn", "Cd", "In", "In"], "frac_coords": [[0.000, 0.000, 0.000], [0.000, 0.000, 0.500], [0.500, 0.500, 0.000], [0.000, 0.500, 0.500], [0.500, 0.000, 0.500]]}

---

Entry 4:
{"formula": "MoRu", "functional": "PBE-GGA", "state": "optimized geometry", "magnetic_moment_mub_per_atom": 0.0000, "e_tot_ev_per_atom": -9.394, "lattice_angstrom": [[3.837, 0.000, 0.000], [-1.919, 3.323, 0.000], [0.000, 0.000, 5.347]], "species": ["Mo", "Mo", "Ru", "Ru"], "frac_coords": [[0.333, 0.667, 0.250], [0.667, 0.333, 0.750], [0.000, 0.000, 0.000], [0.000, 0.000, 0.500]]}

---

Q: What is the formula in the third record?
A: CaZnCdIn2